No. 1
# PuZn10Cd2 (PBE, relaxed)
# - DFT formation energy (eV/atom) = -0.029
# - electronic total energy (eV/atom) = -2.253
data_PuZn10Cd2
_cell_length_a 9.0906
_cell_length_b 7.0330
_cell_length_c 6.9446
_cell_angle_alpha 81.14
_cell_angle_beta 49.86
_cell_angle_gamma 49.01
_symmetry_space_group_name_H-M 'P 1'
_symmetry_Int_Tables_number 1
_symmetry_space_group_name_Hall 'P 1'
loop_
_atom_site_label
_atom_site_type_symbol
_atom_site_fract_x
_atom_site_fract_y
_atom_site_fract_z
Pu1 Pu 0.0000 0.0000 0.0000
Zn1 Zn 0.0000 0.0000 0.5000
Zn2 Zn 0.0132 0.6433 0.3567
Zn3 Zn 0.2885 0.5088 0.4912
Zn4 Zn 0.3567 0.9868 0.0132
Zn5 Zn 0.4912 0.7115 0.2885
Zn6 Zn 0.5000 0.5000 0.0000
Zn7 Zn 0.5088 0.2885 0.7115
Zn8 Zn 0.6433 0.0132 0.9868
Zn9 Zn 0.7115 0.4912 0.5088
Zn10 Zn 0.9868 0.3567 0.6433
Cd1 Cd 0.0000 0.5000 0.0000
Cd2 Cd 0.5000 0.0000 0.5000

=====

No. 2
# PtRhO4 (PBE, relaxed)
# - ΔE_f (raw) (eV/atom) = -0.60
# - energy above the most stable polymorph in this dataset (eV/atom) = 0.000
# - electronic total energy (eV/atom) = -6.133
data_PtRhO4
_cell_length_a 5.6417
_cell_length_b 4.4720
_cell_length_c 5.6254
_cell_angle_alpha 90.00
_cell_angle_beta 111.78
_cell_angle_gamma 90.00
_symmetry_space_group_name_H-M 'P 1'
_symmetry_Int_Tables_number 1
_symmetry_space_group_name_Hall 'P 1'
loop_
_atom_site_label
_atom_site_type_symbol
_atom_site_fract_x
_atom_site_fract_y
_atom_site_fract_z
Pt1 Pt 0.0000 0.0000 0.0000
Pt2 Pt 0.0000 0.5000 0.5000
Rh1 Rh 0.5000 0.0000 0.5000
Rh2 Rh 0.5000 0.5000 0.0000
O1 O 0.1765 0.2426 0.3218
O2 O 0.1765 0.2574 0.8218
O3 O 0.3367 0.7122 0.6629
O4 O 0.3367 0.7878 0.1629
O5 O 0.6633 0.2122 0.8371
O6 O 0.6633 0.2878 0.3371
O7 O 0.8235 0.7426 0.1782
O8 O 0.8235 0.7574 0.6782

=====

Which value of electronic total energy does entry 2 give?
-6.133 eV/atom